(1)
! Li2CaSiOs PBE-GGA relaxed; values from VASP
! Raw formation energy, eV/atom: 0.079
&SYSTEM
  ibrav = 0, nat = 5, ntyp = 4
/
ATOMIC_SPECIES
Si 28.09 Si.upf
Os 190.23 Os.upf
Li 6.94 Li.upf
Ca 40.08 Ca.upf
CELL_PARAMETERS angstrom
-3.5524 3.1145 0.2461
-0.4761 -0.8956 4.4623
3.0851 3.4384 1.0193
ATOMIC_POSITIONS angstrom
Si -0.2381 -0.4478 2.2311
Os 0.0000 0.0000 0.0000
Li -1.7762 1.5572 0.1230
Li 1.5426 1.7192 0.5097
Ca -0.4717 2.8286 2.8638



(2)
! LiCaTe2Os PBE-GGA relaxed; values from VASP
! Raw formation energy, eV/atom: 0.983
&SYSTEM
  ibrav = 0, nat = 5, ntyp = 4
/
ATOMIC_SPECIES
Li 6.94 Li.upf
Te 127.60 Te.upf
Ca 40.08 Ca.upf
Os 190.23 Os.upf
CELL_PARAMETERS angstrom
-3.7421 -3.0082 3.4000
3.4333 0.4466 4.1738
-2.5953 5.0327 1.5964
ATOMIC_POSITIONS angstrom
Li -1.4520 1.2355 4.5851
Te -1.8710 -1.5041 1.7000
Ca 0.0000 0.0000 0.0000
Os 1.7166 0.2233 2.0869
Te -1.2977 2.5164 0.7982



(3)
! LiCaThOs PBE-GGA relaxed; values from VASP
! Calculated formation energy, eV/atom: 0.01
&SYSTEM
  ibrav = 0, nat = 4, ntyp = 4
/
ATOMIC_SPECIES
Os 190.23 Os.upf
Th 232.04 Th.upf
Ca 40.08 Ca.upf
Li 6.94 Li.upf
CELL_PARAMETERS angstrom
-4.3257 1.9739 1.5273
-4.3240 -1.9364 -1.5792
-2.9134 -2.5239 3.1754
ATOMIC_POSITIONS angstrom
Os -5.7815 -1.2432 1.5618
Th -8.6723 -1.8648 2.3426
Ca -2.8908 -0.6216 0.7809
Li 0.0000 0.0000 0.0000



(4)
! LiCaY2Os PBE-GGA relaxed; values from VASP
! Calculated formation energy, eV/atom: 0.17
&SYSTEM
  ibrav = 0, nat = 5, ntyp = 4
/
ATOMIC_SPECIES
Ca 40.08 Ca.upf
Y 88.91 Y.upf
Li 6.94 Li.upf
Os 190.23 Os.upf
CELL_PARAMETERS angstrom
5.3378 0.0000 0.0000
0.0000 5.2977 0.0000
0.0000 0.0000 5.3378
ATOMIC_POSITIONS angstrom
Ca 2.6689 2.6488 2.6689
Y 0.0000 0.0000 2.6689
Li 0.0000 2.6488 0.0000
Os 0.0000 0.0000 0.0000
Y 2.6689 0.0000 0.0000



(5)
! LiCaYOs PBE-GGA relaxed; values from VASP
! Calculated formation energy, eV/atom: 0.05
&SYSTEM
  ibrav = 0, nat = 4, ntyp = 4
/
ATOMIC_SPECIES
Y 88.91 Y.upf
Os 190.23 Os.upf
Li 6.94 Li.upf
Ca 40.08 Ca.upf
CELL_PARAMETERS angstrom
-4.1694 -1.4867 2.2069
-0.0188 -4.1259 2.7278
-0.4335 0.2892 4.9186
ATOMIC_POSITIONS angstrom
Y -1.1554 -1.3309 2.4633
Os -2.3108 -2.6617 4.9266
Li 0.0000 0.0000 0.0000
Ca -3.4662 -3.9926 7.3899



(6)
! LiCa2ZnOs PBE-GGA relaxed; values from VASP
! Calculated formation energy, eV/atom: 0.72
&SYSTEM
  ibrav = 0, nat = 5, ntyp = 4
/
ATOMIC_SPECIES
Li 6.94 Li.upf
Zn 65.41 Zn.upf
Ca 40.08 Ca.upf
Os 190.23 Os.upf
CELL_PARAMETERS angstrom
-4.1951 -2.0321 2.2699
-0.8720 -2.1743 -3.5581
2.8558 -3.9685 1.7251
ATOMIC_POSITIONS angstrom
Li 0.0000 0.0000 0.0000
Zn -1.1057 -4.0874 0.2185
Ca 1.4279 -1.9842 0.8626
Ca -2.0975 -1.0160 1.1349
Os -0.4360 -1.0871 -1.7790



Number 1: magnetization 0.00 μB per formula unit, calculated total energy -4.4178 eV/atom. Number 2: magnetization 4.31 μB per formula unit, calculated total energy -3.3028 eV/atom. Number 3: magnetization 0.00 μB per formula unit, calculated total energy -5.6329 eV/atom. Number 4: magnetization 0.00 μB per formula unit, calculated total energy -5.4437 eV/atom. Number 5: magnetization 0.00 μB per formula unit, calculated total energy -5.3531 eV/atom. Number 6: magnetization 0.00 μB per formula unit, calculated total energy -2.9610 eV/atom.